P | Computed, not measured: a relaxed structure of KEuIn2 at the PBE-GGA level of DFT. Values from VASP.

Properties
D(E_F), states/eV/f.u.: 8.9
Calculated volume, Å³ per cell: 138.0
Magnetization, μB/cell: 6.94

Structure (Quantum ESPRESSO input):
```
&SYSTEM
  ibrav = 0, nat = 4, ntyp = 3
/
ATOMIC_SPECIES
Eu 151.96 Eu.upf
K 39.10 K.upf
In 114.82 In.upf
ATOMIC_POSITIONS angstrom
Eu 2.021 2.021 0.000
K 2.021 2.021 4.222
In 0.000 0.000 6.666
In 0.000 0.000 1.778
CELL_PARAMETERS angstrom
4.042 0.000 0.000
0.000 4.042 0.000
0.000 0.000 8.444
```

---

Q | Computed, not measured: a relaxed structure of KEuIn2 at the PBE-GGA level of DFT. Values from VASP.

Properties
D(E_F), states/eV/f.u.: 6.9
Calculated volume, Å³ per cell: 138.6
Magnetization, μB/cell: 7.34

Structure (Quantum ESPRESSO input):
```
&SYSTEM
  ibrav = 0, nat = 4, ntyp = 3
/
ATOMIC_SPECIES
Eu 151.96 Eu.upf
K 39.10 K.upf
In 114.82 In.upf
ATOMIC_POSITIONS angstrom
Eu 0.000 0.000 0.000
K -2.577 -6.619 0.773
In -3.913 -10.053 1.287
In -1.241 -3.184 0.259
CELL_PARAMETERS angstrom
-2.575 -1.400 -2.345
0.922 -2.764 -2.366
-3.501 -9.074 6.257
```

---

Most stable structure: P

---

P | Computed, not measured: a relaxed structure of La2EuIn at the PBE-GGA level of DFT. Values from VASP.

Properties
D(E_F), states/eV/f.u.: 5.1
Calculated volume, Å³ per cell: 131.3
Magnetization, μB/cell: 7.58

Structure (Quantum ESPRESSO input):
```
&SYSTEM
  ibrav = 0, nat = 4, ntyp = 3
/
ATOMIC_SPECIES
Eu 151.96 Eu.upf
In 114.82 In.upf
La 138.91 La.upf
ATOMIC_POSITIONS angstrom
Eu 0.725 0.727 4.281
In -1.745 0.730 1.623
La 1.625 1.733 0.969
La 0.845 -1.736 1.690
CELL_PARAMETERS angstrom
-3.490 1.459 3.245
1.690 -3.473 3.379
3.251 3.466 1.937
```

---

Q | Computed, not measured: a relaxed structure of La2EuIn at the PBE-GGA level of DFT. Values from VASP.

Properties
D(E_F), states/eV/f.u.: 4.9
Calculated volume, Å³ per cell: 136.4
Magnetization, μB/cell: 7.79

Structure (Quantum ESPRESSO input):
```
&SYSTEM
  ibrav = 0, nat = 4, ntyp = 3
/
ATOMIC_SPECIES
Eu 151.96 Eu.upf
In 114.82 In.upf
La 138.91 La.upf
ATOMIC_POSITIONS angstrom
Eu -0.519 1.700 2.391
In 3.213 1.573 3.291
La 5.365 -0.183 1.294
La 2.099 -0.071 0.506
CELL_PARAMETERS angstrom
-0.041 4.144 0.757
-0.996 -0.745 4.025
7.464 -0.254 1.800
```

---

Most stable structure: P